Li2TeWO | PBE with a Hubbard U | optimized geometry

Results
Space group: P4/mmm (123)
VASP energy (eV/cell): -20.65
Size of the total moment (μB/f.u.): 2.49

Cell lengths 5.592, 3.786, 5.592 Å; angles 90.00, 90.00, 90.00 degrees
Sites, in units of the cell vectors:
Li (0.000, 0.000, 0.500)
Li (0.500, 0.000, 0.000)
Te (0.500, 0.500, 0.500)
W (0.000, 0.000, 0.000)
O (0.000, 0.500, 0.000)